First-principles (GGA-PBE) data for a relaxed structure of AlCr2Cl, as listed in Alexandria.

a b c (Å): 12.320 2.974 4.393
angles (deg): 90.00 90.22 90.00
Space group Cm (No. 8)
Symmetry-distinct sites (fractional):
Al (0.000, 0.000, 0.000)
Cr (0.034, 0.500, 0.500)
Cr (0.385, 0.500, 0.499)
Cl (0.225, 0.000, 0.499)

crystal system: monoclinic
spin magnetization: 0.0186 μB per atom
energy relative to the lowest polymorph listed for this composition: 120 meV per atom
ΔE_f (raw): 137 meV per atom
mass density: 3.43 Mg/m³
V: 161 Å³ per cell
VASP energy: -48.57 eV for the cell shown

First-principles (GGA-PBE) data for a relaxed structure of Pm2Hg2Pd7, as listed in Alexandria.

a b c (Å): 9.226 9.976 5.487
angles (deg): 90.00 90.00 90.00
Space group Cmmm (No. 65)
Symmetry-distinct sites (fractional):
Pm (0.213, 0.000, 0.000)
Hg (0.000, 0.266, 0.500)
Pd (0.000, 0.000, 0.500)
Pd (0.000, 0.500, 0.243)
Pd (0.250, 0.250, 0.247)

crystal system: orthorhombic
formation enthalpy at 0 K: -0.11 eV per atom
spin magnetization: 0.0000 μB per atom
mass density: 9.44 Mg/m³
V: 505 Å³ per cell
VASP energy: -95.36 eV for the cell shown

First-principles (GGA-PBE) data for a relaxed structure of Pr3RuCl2, as listed in Alexandria.

a b c (Å): 3.965 5.917 14.196
angles (deg): 90.00 90.00 90.00
Space group Immm (No. 71)
Symmetry-distinct sites (fractional):
Pr (0.000, 0.000, 0.000)
Pr (0.000, 0.000, 0.364)
Ru (0.000, 0.500, 0.000)
Cl (0.000, 0.500, 0.323)

crystal system: orthorhombic
spin magnetization: 0.0000 μB per atom
energy relative to the lowest polymorph listed for this composition: 0 meV per atom
ΔE_f (raw): -1063 meV per atom
mass density: 5.93 Mg/m³
V: 333 Å³ per cell
VASP energy: -67.37 eV for the cell shown

First-principles (GGA-PBE) data for a relaxed structure of Al2RhPb, as listed in Alexandria.

a b c (Å): 8.312 3.179 6.055
angles (deg): 90.00 101.92 90.00
Space group C2/m (No. 12)
Symmetry-distinct sites (fractional):
Al (0.231, 0.000, 0.173)
Rh (0.000, 0.500, 0.000)
Pb (0.000, 0.000, 0.500)

crystal system: monoclinic
formation enthalpy at 0 K: -0.19 eV per atom
spin magnetization: 0.0000 μB per atom
mass density: 7.72 Mg/m³
V: 157 Å³ per cell
VASP energy: -38.61 eV for the cell shown

First-principles (GGA-PBE) data for a relaxed structure of Tb2Pm5YHo, as listed in Alexandria.

a b c (Å): 5.658 20.367 10.651
angles (deg): 90.00 90.00 90.00
Space group Cmc2_1 (No. 36)
Symmetry-distinct sites (fractional):
Tb (0.000, 0.113, 0.000)
Tb (0.000, 0.115, 0.576)
Pm (0.000, 0.016, 0.281)
Pm (0.000, 0.279, 0.575)
Pm (0.000, 0.298, 0.971)
Pm (0.000, 0.386, 0.286)
Pm (0.000, 0.482, 0.006)
Y (0.000, 0.408, 0.724)
Ho (0.000, 0.199, 0.274)

crystal system: orthorhombic
formation enthalpy at 0 K: 0.15 eV per atom
spin magnetization: 0.0000 μB per atom
mass density: 7.02 Mg/m³
V: 1228 Å³ per cell
VASP energy: -170.92 eV for the cell shown

First-principles (GGA-PBE) data for a relaxed structure of KCu2SnOs, as listed in Alexandria.

a b c (Å): 4.595 4.595 5.602
angles (deg): 90.00 90.00 90.00
Space group P4/mmm (No. 123)
Symmetry-distinct sites (fractional):
K (0.000, 0.000, 0.000)
Cu (0.000, 0.500, 0.000)
Sn (0.000, 0.000, 0.500)
Os (0.500, 0.500, 0.500)

crystal system: tetragonal
formation enthalpy at 0 K: 2.36 eV per atom
spin magnetization: 0.3714 μB per atom
mass density: 6.67 Mg/m³
V: 118 Å³ per cell
VASP energy: -12.72 eV for the cell shown